Entry 1:
! SrCa10Hg3 GGA-PBE optimized geometry; values from VASP
&SYSTEM
  ibrav = 0, nat = 28, ntyp = 3
/
ATOMIC_SPECIES
Sr 87.62 Sr.upf
Ca 40.08 Ca.upf
Hg 200.59 Hg.upf
CELL_PARAMETERS angstrom
-5.025 10.195 -1.960
-7.520 4.283 7.624
2.858 9.162 6.396
ATOMIC_POSITIONS angstrom
Sr -2.422 5.910 3.015
Sr -7.265 17.730 9.046
Ca 0.963 3.087 2.155
Ca -5.944 14.506 7.400
Ca -4.023 5.927 7.210
Ca -0.639 7.518 6.810
Ca -3.332 6.760 -1.299
Ca 1.895 6.075 4.241
Ca -3.661 9.874 8.291
Ca -2.369 9.847 0.856
Ca -6.680 6.275 4.395
Ca -4.986 2.840 5.055
Ca -7.242 10.343 4.494
Ca -1.693 3.435 -0.660
Ca -2.527 12.560 3.936
Ca -2.534 1.443 2.569
Ca -3.743 9.135 4.660
Ca -7.160 11.081 8.124
Ca -5.866 8.203 1.269
Ca -2.445 13.298 7.566
Ca -6.026 13.767 3.770
Ca 0.202 9.510 3.581
Hg -8.380 13.041 5.862
Hg -1.307 10.600 6.198
Hg -4.927 11.074 2.361
Hg -6.073 8.359 6.762
Hg -4.760 12.567 9.699
Hg -3.614 15.281 5.298
! Total magnetic moment, μB/atom: 0.000
! Crystal system: cubic


Entry 2:
! Sr2CaHg8 GGA-PBE optimized geometry; values from VASP
&SYSTEM
  ibrav = 0, nat = 11, ntyp = 3
/
ATOMIC_SPECIES
Hg 200.59 Hg.upf
Ca 40.08 Ca.upf
Sr 87.62 Sr.upf
CELL_PARAMETERS angstrom
5.082 0.000 -1.547
-1.155 6.680 -3.794
-0.076 0.510 8.874
ATOMIC_POSITIONS angstrom
Hg 3.292 6.047 1.693
Hg 0.560 1.143 1.841
Hg 4.197 5.192 4.669
Hg -0.345 1.998 -1.135
Hg 1.181 4.150 3.881
Hg 2.671 3.039 -0.347
Hg 1.626 1.575 5.344
Hg 2.226 5.615 -1.810
Ca 2.541 0.000 -0.773
Sr 0.225 4.977 0.741
Sr 3.627 2.213 2.793
! Total magnetic moment, μB/atom: 0.000
! Crystal system: orthorhombic


Entry 3:
! Sr2CaHg GGA-PBE optimized geometry; values from VASP
&SYSTEM
  ibrav = 0, nat = 4, ntyp = 3
/
ATOMIC_SPECIES
Sr 87.62 Sr.upf
Hg 200.59 Hg.upf
Ca 40.08 Ca.upf
CELL_PARAMETERS angstrom
3.994 0.000 0.000
0.000 3.994 0.000
0.000 0.000 10.067
ATOMIC_POSITIONS angstrom
Sr 0.000 0.000 9.409
Sr 1.997 1.997 2.687
Hg 1.997 1.997 7.367
Ca 0.000 0.000 5.704
! Total magnetic moment, μB/atom: 0.000
! Crystal system: tetragonal


Entry 4:
! SrCa2Hg6 GGA-PBE optimized geometry; values from VASP
&SYSTEM
  ibrav = 0, nat = 9, ntyp = 3
/
ATOMIC_SPECIES
Hg 200.59 Hg.upf
Ca 40.08 Ca.upf
Sr 87.62 Sr.upf
CELL_PARAMETERS angstrom
3.957 0.000 0.000
1.979 8.652 1.193
1.979 3.627 7.945
ATOMIC_POSITIONS angstrom
Hg 1.979 4.867 1.744
Hg 1.979 4.511 6.757
Hg 1.979 3.068 4.161
Hg 1.979 7.768 2.381
Hg 5.936 7.412 7.394
Hg 5.936 9.211 4.977
Ca 5.936 10.570 7.866
Ca 1.979 1.709 1.272
Sr 3.957 6.140 4.569
! Relative energy among the computed polymorphs, eV/f.u.: 0.24
! Total magnetic moment, μB/atom: 0.000
! Crystal system: orthorhombic


Entry 5:
! Sr2CaHg2 GGA-PBE optimized geometry; values from VASP
&SYSTEM
  ibrav = 0, nat = 10, ntyp = 3
/
ATOMIC_SPECIES
Sr 87.62 Sr.upf
Hg 200.59 Hg.upf
Ca 40.08 Ca.upf
CELL_PARAMETERS angstrom
-1.005 0.628 -8.761
2.492 -8.436 -0.890
-4.288 -1.309 0.398
ATOMIC_POSITIONS angstrom
Sr -0.664 -6.102 -1.767
Sr -2.096 -1.768 -2.942
Sr -0.705 -7.349 -6.312
Sr -2.137 -3.014 -7.487
Hg 0.750 -2.933 -1.561
Hg 0.737 -4.875 -8.091
Hg -0.292 -0.793 -5.749
Hg 1.779 -7.015 -3.903
Ca 0.744 -3.904 -4.826
Ca 0.000 0.000 0.000
! Relative energy among the computed polymorphs, eV/f.u.: 0.00
! Total magnetic moment, μB/atom: 0.000
! Crystal system: tetragonal


Entry 6:
! SrCa2Hg GGA-PBE optimized geometry; values from VASP
&SYSTEM
  ibrav = 0, nat = 4, ntyp = 3
/
ATOMIC_SPECIES
Ca 40.08 Ca.upf
Sr 87.62 Sr.upf
Hg 200.59 Hg.upf
CELL_PARAMETERS angstrom
7.166 0.023 0.005
3.493 6.257 -0.005
-4.606 -4.368 3.325
ATOMIC_POSITIONS angstrom
Ca 10.134 5.971 0.000
Ca 5.855 3.449 0.000
Sr 2.108 2.514 1.660
Hg 3.945 -0.602 1.665
! Total magnetic moment, μB/atom: 0.000
! Crystal system: orthorhombic


Entry 7:
! Sr3Ca2Hg3 GGA-PBE optimized geometry; values from VASP
&SYSTEM
  ibrav = 0, nat = 8, ntyp = 3
/
ATOMIC_SPECIES
Hg 200.59 Hg.upf
Ca 40.08 Ca.upf
Sr 87.62 Sr.upf
CELL_PARAMETERS angstrom
-3.885 0.736 -0.459
-1.025 -2.066 5.366
3.991 11.572 2.039
ATOMIC_POSITIONS angstrom
Hg -1.289 7.617 5.865
Hg 0.370 2.625 1.081
Hg -0.513 -1.033 2.683
Ca 0.332 4.967 5.154
Ca -1.252 5.276 1.792
Sr -2.097 1.878 3.501
Sr 1.178 8.364 3.445
Sr -1.943 0.368 -0.229
! Total magnetic moment, μB/atom: 0.000
! Crystal system: orthorhombic


Entry 8:
! Sr2CaHg GGA-PBE optimized geometry; values from VASP
&SYSTEM
  ibrav = 0, nat = 4, ntyp = 3
/
ATOMIC_SPECIES
Sr 87.62 Sr.upf
Ca 40.08 Ca.upf
Hg 200.59 Hg.upf
CELL_PARAMETERS angstrom
11.465 -0.028 -0.016
10.688 4.150 -0.016
10.688 1.989 3.643
ATOMIC_POSITIONS angstrom
Sr 0.547 0.102 0.060
Sr 15.874 2.954 1.745
Ca 8.210 1.528 0.903
Hg 24.631 4.584 2.708
! Total magnetic moment, μB/atom: 0.000
! Crystal system: trigonal


Entry 9:
! SrCaHg2 GGA-PBE optimized geometry; values from VASP
&SYSTEM
  ibrav = 0, nat = 8, ntyp = 3
/
ATOMIC_SPECIES
Hg 200.59 Hg.upf
Sr 87.62 Sr.upf
Ca 40.08 Ca.upf
CELL_PARAMETERS angstrom
8.527 0.000 0.000
0.000 8.527 0.000
4.264 4.264 3.867
ATOMIC_POSITIONS angstrom
Hg 6.395 6.537 2.900
Hg 6.254 2.132 0.967
Hg 10.659 10.517 2.900
Hg 2.273 6.395 0.967
Sr 8.527 4.264 1.933
Sr 0.000 0.000 0.000
Ca 4.264 4.264 0.000
Ca 4.264 8.527 1.933
! Relative energy among the computed polymorphs, eV/f.u.: 0.97
! Total magnetic moment, μB/atom: 0.000
! Crystal system: tetragonal


Entry 10:
! SrCa2Hg2 GGA-PBE optimized geometry; values from VASP
&SYSTEM
  ibrav = 0, nat = 10, ntyp = 3
/
ATOMIC_SPECIES
Ca 40.08 Ca.upf
Hg 200.59 Hg.upf
Sr 87.62 Sr.upf
CELL_PARAMETERS angstrom
-7.109 4.904 1.868
-4.007 -3.043 -7.264
-1.603 -3.165 2.210
ATOMIC_POSITIONS angstrom
Ca -4.494 -2.821 -3.347
Ca -8.834 -0.966 -3.838
Ca -3.885 -0.338 0.651
Ca -8.225 1.517 0.160
Hg -5.983 -0.855 -5.564
Hg -8.672 2.254 -3.061
Hg -2.444 -0.393 -2.335
Hg -5.133 2.716 0.168
Sr 0.000 0.000 0.000
Sr -5.558 0.931 -2.698
! Relative energy among the computed polymorphs, eV/f.u.: 0.00
! Total magnetic moment, μB/atom: 0.000
! Crystal system: tetragonal


Entry 11:
! SrCaHg4 GGA-PBE optimized geometry; values from VASP
&SYSTEM
  ibrav = 0, nat = 6, ntyp = 3
/
ATOMIC_SPECIES
Sr 87.62 Sr.upf
Ca 40.08 Ca.upf
Hg 200.59 Hg.upf
CELL_PARAMETERS angstrom
-3.234 -2.296 3.059
-0.250 -6.271 -0.869
2.766 -2.602 5.073
ATOMIC_POSITIONS angstrom
Sr 1.383 -1.301 2.536
Ca -0.125 -3.135 -0.434
Hg -0.061 -4.486 2.720
Hg 1.247 -8.862 4.920
Hg -0.657 -6.682 4.543
Hg -1.965 -2.306 2.343
! Relative energy among the computed polymorphs, eV/f.u.: 0.00
! Total magnetic moment, μB/atom: 0.000
! Crystal system: orthorhombic


Entry 12:
! Sr8Ca2Hg GGA-PBE optimized geometry; values from VASP
&SYSTEM
  ibrav = 0, nat = 11, ntyp = 3
/
ATOMIC_SPECIES
Sr 87.62 Sr.upf
Ca 40.08 Ca.upf
Hg 200.59 Hg.upf
CELL_PARAMETERS angstrom
-0.436 3.319 -5.523
-7.068 -2.511 -0.951
-3.160 7.103 8.294
ATOMIC_POSITIONS angstrom
Sr -3.712 7.095 0.781
Sr -8.446 4.008 3.075
Sr -6.952 0.815 1.039
Sr -1.989 0.052 0.188
Sr -8.675 7.858 1.631
Sr -2.219 3.902 -1.256
Sr -5.454 6.460 4.313
Sr -5.210 1.450 -2.494
Ca -4.055 3.243 2.269
Ca -6.609 4.668 -0.450
Hg -0.218 1.660 -2.762
! Total magnetic moment, μB/atom: 0.000
! Crystal system: monoclinic


Entry 13:
! SrCa2Hg GGA-PBE optimized geometry; values from VASP
&SYSTEM
  ibrav = 0, nat = 16, ntyp = 3
/
ATOMIC_SPECIES
Ca 40.08 Ca.upf
Hg 200.59 Hg.upf
Sr 87.62 Sr.upf
CELL_PARAMETERS angstrom
-3.638 -5.671 0.999
5.726 -2.558 6.331
-5.451 4.699 6.828
ATOMIC_POSITIONS angstrom
Ca -0.599 -3.060 9.666
Ca -2.764 -0.470 4.492
Ca -4.342 -3.152 6.742
Ca -6.438 -1.345 9.367
Ca 3.075 -2.185 4.790
Ca -2.696 -1.253 12.292
Ca 0.978 -0.378 7.416
Ca -0.668 -2.277 1.866
Hg -5.546 -0.104 6.454
Hg -3.873 -3.237 9.946
Hg 0.510 -0.293 4.212
Hg 2.183 -3.426 7.704
Sr -0.544 -3.644 5.677
Sr 1.059 0.419 11.367
Sr -4.423 -3.949 2.790
Sr -2.819 0.114 8.480
! Total magnetic moment, μB/atom: 0.000
! Crystal system: orthorhombic


Entry 14:
! SrCaHg4 GGA-PBE optimized geometry; values from VASP
&SYSTEM
  ibrav = 0, nat = 6, ntyp = 3
/
ATOMIC_SPECIES
Hg 200.59 Hg.upf
Sr 87.62 Sr.upf
Ca 40.08 Ca.upf
CELL_PARAMETERS angstrom
0.000 4.360 4.360
4.360 0.000 4.360
4.360 4.360 0.000
ATOMIC_POSITIONS angstrom
Hg 5.451 3.268 5.451
Hg 3.268 3.268 3.268
Hg 5.451 5.451 3.268
Hg 3.268 5.451 5.451
Sr 6.540 6.540 6.540
Ca 0.000 0.000 0.000
! Relative energy among the computed polymorphs, eV/f.u.: 0.84
! Total magnetic moment, μB/atom: 0.000
! Crystal system: cubic


Entry 15:
! SrCaHg2 GGA-PBE optimized geometry; values from VASP
&SYSTEM
  ibrav = 0, nat = 4, ntyp = 3
/
ATOMIC_SPECIES
Hg 200.59 Hg.upf
Sr 87.62 Sr.upf
Ca 40.08 Ca.upf
CELL_PARAMETERS angstrom
-2.093 3.766 -0.467
-3.678 0.166 -2.285
-6.332 -0.274 6.063
ATOMIC_POSITIONS angstrom
Hg -2.956 0.940 0.717
Hg -5.301 0.097 4.430
Sr -6.066 1.824 1.677
Ca -10.165 2.353 4.205
! Relative energy among the computed polymorphs, eV/f.u.: 0.52
! Total magnetic moment, μB/atom: 0.000
! Crystal system: trigonal


Entry 16:
! SrCa2Hg2 GGA-PBE optimized geometry; values from VASP
&SYSTEM
  ibrav = 0, nat = 10, ntyp = 3
/
ATOMIC_SPECIES
Hg 200.59 Hg.upf
Ca 40.08 Ca.upf
Sr 87.62 Sr.upf
CELL_PARAMETERS angstrom
-2.629 -0.225 -2.845
3.636 -3.033 -3.120
-3.913 -12.150 7.250
ATOMIC_POSITIONS angstrom
Hg -2.860 -9.599 3.422
Hg -2.047 -13.470 2.979
Hg -0.047 -5.809 -2.137
Hg -0.859 -1.938 -1.694
Ca -5.148 -11.997 3.087
Ca -3.260 -7.567 0.980
Ca 2.241 -3.411 -1.801
Ca 0.354 -7.842 0.306
Sr -2.357 -11.231 0.442
Sr -0.550 -4.177 0.844
! Relative energy among the computed polymorphs, eV/f.u.: 0.16
! Total magnetic moment, μB/atom: 0.000
! Crystal system: monoclinic


Entry 17:
! SrCa5Hg2 GGA-PBE optimized geometry; values from VASP
&SYSTEM
  ibrav = 0, nat = 8, ntyp = 3
/
ATOMIC_SPECIES
Hg 200.59 Hg.upf
Ca 40.08 Ca.upf
Sr 87.62 Sr.upf
CELL_PARAMETERS angstrom
4.765 0.000 1.584
1.902 7.630 2.238
-0.072 0.096 8.174
ATOMIC_POSITIONS angstrom
Hg 1.687 1.830 2.883
Hg 4.908 5.896 9.113
Ca 2.455 3.677 8.532
Ca 3.200 6.522 6.290
Ca 0.915 3.863 5.206
Ca 3.395 1.204 5.706
Ca 4.140 4.049 3.464
Sr 0.000 0.000 0.000
! Total magnetic moment, μB/atom: 0.000
! Crystal system: orthorhombic


Entry 18:
! SrCaHg6 GGA-PBE optimized geometry; values from VASP
&SYSTEM
  ibrav = 0, nat = 8, ntyp = 3
/
ATOMIC_SPECIES
Hg 200.59 Hg.upf
Ca 40.08 Ca.upf
Sr 87.62 Sr.upf
CELL_PARAMETERS angstrom
5.381 0.000 0.000
0.000 5.726 0.000
0.000 0.000 6.896
ATOMIC_POSITIONS angstrom
Hg 2.690 4.800 5.101
Hg 0.000 3.879 3.448
Hg 0.000 0.957 5.088
Hg 2.690 4.800 1.794
Hg 2.690 1.725 0.000
Hg 0.000 0.957 1.808
Ca 2.690 2.015 3.448
Sr 0.000 3.772 0.000
! Relative energy among the computed polymorphs, eV/f.u.: 0.08
! Total magnetic moment, μB/atom: 0.000
! Crystal system: orthorhombic


Entry 19:
! SrCaHg2 GGA-PBE optimized geometry; values from VASP
&SYSTEM
  ibrav = 0, nat = 4, ntyp = 3
/
ATOMIC_SPECIES
Hg 200.59 Hg.upf
Ca 40.08 Ca.upf
Sr 87.62 Sr.upf
CELL_PARAMETERS angstrom
6.427 -0.109 -0.574
5.089 3.927 -0.574
0.437 0.145 4.881
ATOMIC_POSITIONS angstrom
Hg 11.051 3.663 -0.487
Hg 9.383 3.110 2.143
Ca 2.758 0.914 0.340
Sr 6.255 2.073 2.453
! Relative energy among the computed polymorphs, eV/f.u.: 0.16
! Total magnetic moment, μB/atom: 0.000
! Crystal system: orthorhombic


Entry 20:
! SrCaHg GGA-PBE optimized geometry; values from VASP
&SYSTEM
  ibrav = 0, nat = 6, ntyp = 3
/
ATOMIC_SPECIES
Hg 200.59 Hg.upf
Ca 40.08 Ca.upf
Sr 87.62 Sr.upf
CELL_PARAMETERS angstrom
-1.667 2.261 -2.801
3.447 -2.525 -4.091
-5.474 -7.499 0.015
ATOMIC_POSITIONS angstrom
Hg -2.705 -7.235 -4.230
Hg -0.989 -0.528 -2.646
Ca -1.809 -4.358 -5.251
Ca -1.885 -3.404 -1.626
Sr -5.336 -4.916 -3.601
Sr 1.642 -2.846 -3.275
! Relative energy among the computed polymorphs, eV/f.u.: 0.03
! Total magnetic moment, μB/atom: 0.000
! Crystal system: orthorhombic


Entry 21:
! SrCa2Hg GGA-PBE optimized geometry; values from VASP
&SYSTEM
  ibrav = 0, nat = 4, ntyp = 3
/
ATOMIC_SPECIES
Sr 87.62 Sr.upf
Ca 40.08 Ca.upf
Hg 200.59 Hg.upf
CELL_PARAMETERS angstrom
-5.356 2.606 -3.876
-1.375 -4.587 5.250
-2.027 2.090 2.531
ATOMIC_POSITIONS angstrom
Sr -1.701 -1.249 3.891
Ca -3.365 -0.991 0.687
Ca 0.000 0.000 0.000
Hg -3.691 2.348 -0.673
! Total magnetic moment, μB/atom: 0.000
! Crystal system: monoclinic


Entry 22:
! SrCa2Hg3 GGA-PBE optimized geometry; values from VASP
&SYSTEM
  ibrav = 0, nat = 6, ntyp = 3
/
ATOMIC_SPECIES
Ca 40.08 Ca.upf
Hg 200.59 Hg.upf
Sr 87.62 Sr.upf
CELL_PARAMETERS angstrom
-0.748 3.408 -1.678
-2.763 -1.661 -2.144
-7.746 2.328 8.180
ATOMIC_POSITIONS angstrom
Ca -8.261 2.829 4.959
Ca -2.996 1.246 -0.601
Hg 0.000 0.000 0.000
Hg -2.467 0.741 2.605
Hg -5.279 1.587 5.575
Sr -5.628 2.037 2.179
! Total magnetic moment, μB/atom: 0.000
! Crystal system: tetragonal


Entry 23:
! Sr2CaHg GGA-PBE optimized geometry; values from VASP
&SYSTEM
  ibrav = 0, nat = 4, ntyp = 3
/
ATOMIC_SPECIES
Hg 200.59 Hg.upf
Sr 87.62 Sr.upf
Ca 40.08 Ca.upf
CELL_PARAMETERS angstrom
7.275 -0.030 0.010
6.067 4.015 0.010
2.605 0.778 5.534
ATOMIC_POSITIONS angstrom
Hg 3.987 1.191 1.388
Sr 12.823 3.830 0.286
Sr 8.493 2.537 2.510
Ca 11.960 3.572 4.165
! Total magnetic moment, μB/atom: 0.053
! Crystal system: orthorhombic


Entry 24:
! Sr2CaHg GGA-PBE optimized geometry; values from VASP
&SYSTEM
  ibrav = 0, nat = 4, ntyp = 3
/
ATOMIC_SPECIES
Sr 87.62 Sr.upf
Ca 40.08 Ca.upf
Hg 200.59 Hg.upf
CELL_PARAMETERS angstrom
7.372 0.019 0.011
3.649 6.405 -0.011
-4.786 -4.455 3.405
ATOMIC_POSITIONS angstrom
Sr 4.028 -0.623 1.708
Sr 0.541 0.315 0.000
Ca 4.917 2.867 0.000
Hg 2.259 2.623 1.697
! Total magnetic moment, μB/atom: 0.000
! Crystal system: orthorhombic


Taking the records one at a time from the top gives calculated formation energy values of -218 -384 -272 -429 -449 -269 -403 -179 -293 -451 -463 -49 -296 -323 -406 -419 -234 -394 -496 -362 -88 -536 -181 -248 meV/atom.